Here is a relaxed CaTm6 crystal from the Alexandria database. Energies are from GGA-PBE.

Computed properties:
The value obtained for the density of states at the Fermi level is 13.27 states/eV/f.u. Its final energy is -37.1 eV for the cell shown. For the formation energy, the calculation gives 10.3 eV per formula unit. For the volume, the calculation gives 296.5 Å³/f.u. The space-group type is Im-3m, No. 229.

Lattice parameters (Å, degrees): 8.401 8.401 8.401 90.00 90.00 90.00
Sites, in units of the cell vectors:
Ca: 0.000 0.000 0.000
Ca: 0.500 0.500 0.500
Tm: 0.000 0.250 0.500
Tm: 0.000 0.500 0.250
Tm: 0.000 0.500 0.750
Tm: 0.000 0.750 0.500
Tm: 0.250 0.000 0.500
Tm: 0.250 0.500 0.000
Tm: 0.500 0.000 0.250
Tm: 0.500 0.000 0.750
Tm: 0.500 0.250 0.000
Tm: 0.500 0.750 0.000
Tm: 0.750 0.000 0.500
Tm: 0.750 0.500 0.000